No. 1
# Hf2P2O9 (meta-GGA SCAN, single point on PBEsol structure)
data_Hf2P2O9
_chemical_formula_sum 'Hf4 P4 O18'
_cell_length_a 7.5874
_cell_length_b 7.5874
_cell_length_c 10.0793
_cell_angle_alpha 126.95
_cell_angle_beta 126.95
_cell_angle_gamma 51.33
_symmetry_space_group_name_H-M 'P 1'
_symmetry_Int_Tables_number 1
loop_
_symmetry_equiv_pos_as_xyz
'x,y,z'
loop_
_atom_site_label
_atom_site_type_symbol
_atom_site_fract_x
_atom_site_fract_y
_atom_site_fract_z
Hf1 Hf 0.0573 0.0573 0.4044
Hf2 Hf 0.3162 0.3162 0.8640
Hf3 Hf 0.6838 0.6838 0.1360
Hf4 Hf 0.9427 0.9427 0.5956
P1 P 0.1699 0.1699 0.0407
P2 P 0.4075 0.4075 0.6644
P3 P 0.5925 0.5925 0.3356
P4 P 0.8301 0.8301 0.9593
O1 O 0.0059 0.6238 0.8591
O2 O 0.0317 0.0317 0.8534
O3 O 0.1143 0.1143 0.6566
O4 O 0.2392 0.6200 0.6027
O5 O 0.2661 0.2661 0.5979
O6 O 0.2741 0.2741 0.0235
O7 O 0.3762 0.9941 0.1409
O8 O 0.3800 0.7608 0.3973
O9 O 0.4851 0.4851 0.8686
O10 O 0.5149 0.5149 0.1314
O11 O 0.6200 0.2392 0.6027
O12 O 0.6238 0.0059 0.8591
O13 O 0.7259 0.7259 0.9765
O14 O 0.7339 0.7339 0.4021
O15 O 0.7608 0.3800 0.3973
O16 O 0.8857 0.8857 0.3434
O17 O 0.9683 0.9683 0.1466
O18 O 0.9941 0.3762 0.1409
# VASP energy = -18.747 eV/atom
# Crystal system = monoclinic
# Uncorrected formation energy = -3.19 eV/atom

No. 2
# Ba2FeHg (meta-GGA SCAN, single point on PBEsol structure)
data_Ba2FeHg
_chemical_formula_sum 'Ba2 Fe1 Hg1'
_cell_length_a 6.6178
_cell_length_b 6.6178
_cell_length_c 5.4395
_cell_angle_alpha 114.13
_cell_angle_beta 114.13
_cell_angle_gamma 35.12
_symmetry_space_group_name_H-M 'P 1'
_symmetry_Int_Tables_number 1
loop_
_symmetry_equiv_pos_as_xyz
'x,y,z'
loop_
_atom_site_label
_atom_site_type_symbol
_atom_site_fract_x
_atom_site_fract_y
_atom_site_fract_z
Ba1 Ba 0.0000 0.0000 0.0000
Ba2 Ba 0.1969 0.1969 0.6957
Fe1 Fe 0.7705 0.7705 0.2686
Hg1 Hg 0.4187 0.4187 0.4188
# VASP energy = -41.297 eV/atom
# Crystal system = monoclinic
# Calculated formation energy = 0.0519 eV/atom

No. 3
# TlPPd3 (meta-GGA SCAN, single point on PBEsol structure)
data_TlPPd3
_chemical_formula_sum 'Tl1 P1 Pd3'
_cell_length_a 4.4873
_cell_length_b 4.4873
_cell_length_c 4.4873
_cell_angle_alpha 90.00
_cell_angle_beta 90.00
_cell_angle_gamma 90.00
_symmetry_space_group_name_H-M 'P 1'
_symmetry_Int_Tables_number 1
loop_
_symmetry_equiv_pos_as_xyz
'x,y,z'
loop_
_atom_site_label
_atom_site_type_symbol
_atom_site_fract_x
_atom_site_fract_y
_atom_site_fract_z
Tl1 Tl 0.0000 0.0000 0.0000
P1 P 0.5000 0.5000 0.5000
Pd1 Pd 0.0000 0.5000 0.5000
Pd2 Pd 0.5000 0.0000 0.5000
Pd3 Pd 0.5000 0.5000 0.0000
# VASP energy = -36.397 eV/atom
# Crystal system = cubic
# Calculated formation energy = -0.1808 eV/atom